Entry 1:
Entry from the Alexandria database: Ac2La2Tc after structural relaxation (PBE).

Energy of formation: 0.1595 eV/atom
Energy: -5.5281 eV per atom
Magnetic moment: 0.000 μB per atom
V: 35.94 A^3/atom

Lattice parameters (Å, degrees): 14.1044 14.1044 14.1044 159.02 159.02 29.84
Fractional positions:
Ac1 0.0486 0.2986 0.7500
Ac2 0.2986 0.0486 0.2500
Ac3 0.7014 0.9514 0.7500
Ac4 0.9514 0.7014 0.2500
La1 0.1762 0.4262 0.7500
La2 0.4262 0.1762 0.2500
La3 0.5738 0.8238 0.7500
La4 0.8238 0.5738 0.2500
Tc1 0.1250 0.8750 0.2500
Tc2 0.8750 0.1250 0.7500



Entry 2:
Entry from the Alexandria database: Ac2LaTc after structural relaxation (PBE).

Energy of formation: 0.3758 eV/atom
Energy: -5.5018 eV per atom
Energy relative to the lowest polymorph listed for this composition: 337 meV per atom
Magnetic moment: 0.001 μB per atom
V: 34.22 A^3/atom

Lattice parameters (Å, degrees): 10.6612 10.6612 10.6612 21.05 21.05 21.05
Fractional positions:
Ac1 0.2308 0.2308 0.2308
Ac2 0.7692 0.7692 0.7692
La1 0.0000 0.0000 0.0000
Tc1 0.5000 0.5000 0.5000



Entry 3:
Entry from the Alexandria database: Ac2LaTc after structural relaxation (PBE).

Energy of formation: 0.0393 eV/atom
Energy: -5.8383 eV per atom
Energy relative to the lowest polymorph listed for this composition: 0 meV per atom
Magnetic moment: 0.000 μB per atom
V: 34.77 A^3/atom

Lattice parameters (Å, degrees): 4.1262 10.2512 6.8917 90.00 107.38 90.00
Fractional positions:
Ac1 0.1435 0.0749 0.2866
Ac2 0.1435 0.4251 0.2866
Ac3 0.8565 0.5749 0.7134
Ac4 0.8565 0.9251 0.7134
La1 0.4041 0.2500 0.8094
La2 0.5959 0.7500 0.1906
Tc1 0.2318 0.7500 0.4623
Tc2 0.7682 0.2500 0.5377



Entry 4:
Entry from the Alexandria database: Ac3LaTc after structural relaxation (PBE).

Energy of formation: 0.1602 eV/atom
Energy: -5.3635 eV per atom
Energy relative to the lowest polymorph listed for this composition: 110 meV per atom
Magnetic moment: 0.000 μB per atom
V: 38.82 A^3/atom

Lattice parameters (Å, degrees): 5.7898 5.7898 5.7898 90.00 90.00 90.00
Fractional positions:
Ac1 0.0000 0.0000 0.5000
Ac2 0.0000 0.5000 0.0000
Ac3 0.5000 0.0000 0.0000
La1 0.5000 0.5000 0.5000
Tc1 0.0000 0.0000 0.0000



Entry 5:
Entry from the Alexandria database: AcLa3Tc after structural relaxation (PBE).

Energy of formation: -0.0015 eV/atom
Energy: -5.8529 eV per atom
Energy relative to the lowest polymorph listed for this composition: 0 meV per atom
Magnetic moment: 0.000 μB per atom
V: 35.79 A^3/atom

Lattice parameters (Å, degrees): 7.6802 7.6802 6.8498 90.92 90.92 62.36
Fractional positions:
Ac1 0.0000 0.0000 0.0000
Ac2 0.7481 0.7481 0.3239
La1 0.2524 0.2524 0.3194
La2 0.2532 0.7505 0.5008
La3 0.4919 0.4919 0.9960
La4 0.5100 0.9874 0.8317
La5 0.7505 0.2532 0.5008
La6 0.9874 0.5100 0.8317
Tc1 0.1392 0.1392 0.6671
Tc2 0.3737 0.3737 0.6862



Entry 6:
Entry from the Alexandria database: Ac3La4Tc2 after structural relaxation (PBE).

Energy of formation: 0.0201 eV/atom
Energy: -5.8429 eV per atom
Magnetic moment: 0.000 μB per atom
V: 35.33 A^3/atom

Lattice parameters (Å, degrees): 9.1823 9.1823 7.6986 91.69 91.69 101.25
Fractional positions:
Ac1 0.0451 0.9549 0.7500
Ac2 0.2889 0.3677 0.2754
Ac3 0.3677 0.2889 0.7754
Ac4 0.6323 0.7111 0.2246
Ac5 0.7111 0.6323 0.7246
Ac6 0.9549 0.0451 0.2500
La1 0.0418 0.6865 0.3673
La2 0.1749 0.5986 0.9139
La3 0.3135 0.9582 0.1327
La4 0.4014 0.8251 0.5861
La5 0.5986 0.1749 0.4139
La6 0.6865 0.0418 0.8673
La7 0.8251 0.4014 0.0861
La8 0.9582 0.3135 0.6327
Tc1 0.0570 0.2721 0.9384
Tc2 0.2721 0.0570 0.4384
Tc3 0.7279 0.9430 0.5616
Tc4 0.9430 0.7279 0.0616



Entry 7:
Entry from the Alexandria database: AcLa4Tc after structural relaxation (PBE).

Energy of formation: 0.0251 eV/atom
Energy: -5.6722 eV per atom
Energy relative to the lowest polymorph listed for this composition: 7 meV per atom
Magnetic moment: 0.000 μB per atom
V: 36.63 A^3/atom

Lattice parameters (Å, degrees): 9.3519 9.3519 7.7096 105.86 105.86 43.00
Fractional positions:
Ac1 0.0751 0.9249 0.7500
Ac2 0.9249 0.0751 0.2500
La1 0.1025 0.2915 0.6446
La2 0.2915 0.1025 0.1446
La3 0.3086 0.4915 0.0267
La4 0.4915 0.3086 0.5267
La5 0.5085 0.6914 0.4733
La6 0.6914 0.5085 0.9733
La7 0.7085 0.8975 0.8554
La8 0.8975 0.7085 0.3554
Tc1 0.0000 0.5000 0.0000
Tc2 0.5000 0.0000 0.5000



Entry 8:
Entry from the Alexandria database: AcLa3Tc after structural relaxation (PBE).

Energy of formation: 0.0527 eV/atom
Energy: -5.7987 eV per atom
Energy relative to the lowest polymorph listed for this composition: 54 meV per atom
Magnetic moment: 0.000 μB per atom
V: 35.79 A^3/atom

Lattice parameters (Å, degrees): 5.6354 5.6354 5.6354 90.00 90.00 90.00
Fractional positions:
Ac1 0.0000 0.0000 0.0000
La1 0.0000 0.5000 0.5000
La2 0.5000 0.0000 0.5000
La3 0.5000 0.5000 0.0000
Tc1 0.5000 0.5000 0.5000